Entry a
Below is IrOsRu2 after structural relaxation, with properties calculated at the GGA-PBEsol level.

Crystal system: tetragonal
Total magnetic moment (μB per formula unit): 0.00
D(E_F) (states/eV per atom): 1.04

CIF file:
```
data_IrOsRu2
_chemical_formula_sum 'Ir2 Os2 Ru4'
_symmetry_space_group_name_H-M 'I 4/m m m'
_symmetry_Int_Tables_number 139
_symmetry_space_group_name_Hall '-I 4 2'
_cell_length_a 3.802
_cell_length_b 3.802
_cell_length_c 7.562
_cell_angle_alpha 90.00
_cell_angle_beta 90.00
_cell_angle_gamma 90.00
loop_
_atom_site_label
_atom_site_fract_x
_atom_site_fract_y
_atom_site_fract_z
Ir1 0.000 0.000 0.000
Os1 0.000 0.000 0.500
Ru1 0.000 0.500 0.250
```

---

Entry b
Below is IrOsRu2 after structural relaxation, with properties calculated at the GGA-PBEsol level.

Crystal system: tetragonal
Total magnetic moment (μB per formula unit): 0.00
D(E_F) (states/eV per atom): 0.82

CIF file:
```
data_IrOsRu2
_chemical_formula_sum 'Ir1 Os1 Ru2'
_symmetry_space_group_name_H-M 'P 4/m m m'
_symmetry_Int_Tables_number 123
_symmetry_space_group_name_Hall '-P 4 2'
_cell_length_a 2.679
_cell_length_b 2.679
_cell_length_c 7.607
_cell_angle_alpha 90.00
_cell_angle_beta 90.00
_cell_angle_gamma 90.00
loop_
_atom_site_label
_atom_site_fract_x
_atom_site_fract_y
_atom_site_fract_z
Ir1 0.000 0.000 0.000
Os1 0.000 0.000 0.500
Ru1 0.500 0.500 0.251
```

---

Computed stability ranking, most favorable first: entry b, entry a

---

Entry a
Below is MoCl3 after structural relaxation, with properties calculated at the GGA-PBEsol level.

Crystal system: monoclinic
Total magnetic moment (μB per formula unit): 0.51
D(E_F) (states/eV per atom): 0.16

CIF file:
```
data_MoCl3
_chemical_formula_sum 'Mo8 Cl24'
_symmetry_space_group_name_H-M 'C 1 2/m 1'
_symmetry_Int_Tables_number 12
_cell_length_a 5.582
_cell_length_b 9.918
_cell_length_c 12.723
_cell_angle_alpha 90.00
_cell_angle_beta 92.13
_cell_angle_gamma 90.00
loop_
_symmetry_equiv_pos_as_xyz
'x,y,z'
'-x,-y,-z'
'-x,y,-z'
'x,-y,z'
'x+1/2,y+1/2,z'
'-x+1/2,-y+1/2,-z'
'-x+1/2,y+1/2,-z'
'x+1/2,-y+1/2,z'
loop_
_atom_site_label
_atom_site_fract_x
_atom_site_fract_y
_atom_site_fract_z
Mo1 0.000 0.130 0.000
Mo2 0.000 0.191 0.500
Cl1 0.148 0.325 0.894
Cl2 0.154 0.000 0.864
Cl3 0.167 0.340 0.378
Cl4 0.170 0.000 0.406
```

---

Entry b
Below is MoCl3 after structural relaxation, with properties calculated at the GGA-PBEsol level.

Crystal system: orthorhombic
Total magnetic moment (μB per formula unit): 2.84
D(E_F) (states/eV per atom): 0.48

CIF file:
```
data_MoCl3
_chemical_formula_sum 'Mo2 Cl6'
_symmetry_space_group_name_H-M 'C m m m'
_symmetry_Int_Tables_number 65
_symmetry_space_group_name_Hall '-C 2 2'
_cell_length_a 4.833
_cell_length_b 12.395
_cell_length_c 3.554
_cell_angle_alpha 90.00
_cell_angle_beta 90.00
_cell_angle_gamma 90.00
loop_
_atom_site_label
_atom_site_fract_x
_atom_site_fract_y
_atom_site_fract_z
Mo1 0.000 0.000 0.000
Cl1 0.000 0.133 0.500
Cl2 0.000 0.500 0.000
```

---

Computed stability ranking, most favorable first: entry a, entry b

---

Entry a
Below is InCu2Te after structural relaxation, with properties calculated at the GGA-PBEsol level.

Crystal system: trigonal
Total magnetic moment (μB per formula unit): 0.00
D(E_F) (states/eV per atom): 0.41

CIF file:
```
data_InCu2Te
_chemical_formula_sum 'In3 Cu6 Te3'
_symmetry_space_group_name_H-M 'R 3 m'
_symmetry_Int_Tables_number 160
_symmetry_space_group_name_Hall 'R 3 -2"'
_cell_length_a 3.9796
_cell_length_b 3.9796
_cell_length_c 17.3819
_cell_angle_alpha 90.00
_cell_angle_beta 90.00
_cell_angle_gamma 120.00
loop_
_atom_site_label
_atom_site_fract_x
_atom_site_fract_y
_atom_site_fract_z
In1 0.0000 0.0000 0.0000
Cu1 0.0000 0.0000 0.4563
Cu2 0.0000 0.0000 0.7477
Te1 0.0000 0.0000 0.1941
```

---

Entry b
Below is InCu2Te after structural relaxation, with properties calculated at the GGA-PBEsol level.

Crystal system: orthorhombic
Total magnetic moment (μB per formula unit): 0.00
D(E_F) (states/eV per atom): 0.41

CIF file:
```
data_InCu2Te
_chemical_formula_sum 'In1 Cu2 Te1'
_symmetry_space_group_name_H-M 'P m m m'
_symmetry_Int_Tables_number 47
_cell_length_a 3.220
_cell_length_b 3.874
_cell_length_c 6.168
_cell_angle_alpha 90.00
_cell_angle_beta 90.00
_cell_angle_gamma 90.00
loop_
_symmetry_equiv_pos_as_xyz
'x,y,z'
'-x,-y,-z'
'-x,-y,z'
'x,y,-z'
'x,-y,-z'
'-x,y,z'
'-x,y,-z'
'x,-y,z'
loop_
_atom_site_label
_atom_site_fract_x
_atom_site_fract_y
_atom_site_fract_z
In1 0.000 0.000 0.000
Cu1 0.500 0.500 0.197
Te1 0.500 0.000 0.500
```

---

Computed stability ranking, most favorable first: entry a, entry b